[1]
VASP calculation (PBE-GGA) on crystalline NaHg2Rh at its relaxed geometry.

## Properties
* space group: I-42d, No. 122

Cell lengths 4.4419, 4.4419, 9.9618 Å; angles 77.12, 77.12, 90.00 degrees
Closest atoms and distances in Å follow each position.
Atoms (fractional coordinates):
Hg1 0.6576 0.1250 0.2500  2 Rh 2.78, 2 Na 2.90, 2 Hg 2.94
Hg2 0.3750 0.3424 0.7500  2 Rh 2.78, 2 Na 2.90, 2 Hg 2.94
Hg3 0.0924 0.6250 0.2500  2 Rh 2.78, 2 Na 2.90, 2 Hg 2.94
Hg4 0.8750 0.9076 0.7500  2 Rh 2.78, 2 Na 2.90, 2 Hg 2.94
Rh1 0.7500 0.2500 0.5000  4 Hg 2.78
Rh2 0.0000 0.0000 0.0000  4 Hg 2.78
Na1 0.2500 0.7500 0.5000  4 Hg 2.90, 4 Rh 3.14
Na2 0.5000 0.5000 0.0000  4 Hg 2.90, 4 Rh 3.14


[2]
VASP calculation (PBE-GGA) on crystalline Ho3Ga12Rh at its relaxed geometry.

## Properties
* space group: P4/mmm, No. 123

Cell lengths 4.3103, 4.3103, 15.8748 Å; angles 90.00, 90.00, 90.00 degrees
Closest atoms and distances in Å follow each position.
Atoms (fractional coordinates):
Ga1 0.5000 0.5000 0.5000  8 Ga 3.01, 4 Ho 3.05
Ga2 0.0000 0.5000 0.3680  8 Ga 3.00-3.05, 4 Ho 3.01-3.04
Ga3 0.5000 0.5000 0.7635  8 Ga 3.00-3.03, 4 Ho 3.05
Ga4 0.0000 0.5000 0.1023  2 Ga 2.70, 2 Rh 2.70, 2 Ho 2.99
Ga5 0.5000 0.0000 0.3680  8 Ga 3.00-3.05, 4 Ho 3.01-3.04
Ga6 0.5000 0.0000 0.8977  2 Rh 2.70, 2 Ga 2.70, 2 Ho 2.99
Ga7 0.0000 0.5000 0.8977  2 Ga 2.70, 2 Rh 2.70, 2 Ho 2.99
Ga8 0.5000 0.5000 0.0000  8 Ga 2.70
Ga9 0.5000 0.5000 0.2365  8 Ga 3.00-3.03, 4 Ho 3.05
Ga10 0.0000 0.5000 0.6320  8 Ga 3.00-3.05, 4 Ho 3.01-3.04
Ga11 0.5000 0.0000 0.1023  2 Rh 2.70, 2 Ga 2.70, 2 Ho 2.99
Ga12 0.5000 0.0000 0.6320  8 Ga 3.00-3.05, 4 Ho 3.01-3.04
Ho1 0.0000 0.0000 0.5000  12 Ga 3.01-3.05
Ho2 0.0000 0.0000 0.2330  12 Ga 2.99-3.05
Ho3 0.0000 0.0000 0.7670  12 Ga 2.99-3.05
Rh1 0.0000 0.0000 0.0000  8 Ga 2.70


[3]
VASP calculation (PBE-GGA) on crystalline Pm6Te3SeS2 at its relaxed geometry.

## Properties
* space group: C2/m, No. 12
* raw formation energy: -1.704 eV per atom

Cell lengths 7.3471, 7.3471, 7.5368 Å; angles 99.34, 99.34, 120.06 degrees
Closest atoms and distances in Å follow each position.
Atoms (fractional coordinates):
Pm1 0.0700 0.4156 0.2101  2 S 2.83, 1 Se 2.95, 1 Te 3.17
Pm2 0.4156 0.0700 0.2101  2 S 2.83, 1 Se 2.95, 1 Te 3.17
Pm3 0.5844 0.9300 0.7899  2 S 2.83, 1 Se 2.95, 1 Te 3.17
Pm4 0.9300 0.5844 0.7899  2 S 2.83, 1 Se 2.95, 1 Te 3.17
Pm5 0.2766 0.2766 0.7931  2 S 2.83, 1 Se 2.93, 1 Te 3.15
Pm6 0.7234 0.7234 0.2069  2 S 2.83, 1 Se 2.93, 1 Te 3.15
S1 0.6671 0.3329 0.0000  6 Pm 2.83
S2 0.3329 0.6671 0.0000  6 Pm 2.83
Se1 0.0000 0.0000 0.0000  6 Pm 2.93-2.95
Te1 0.5000 0.5000 0.5000  6 Pm 3.15-3.24
Te2 0.8371 0.1629 0.5000  6 Pm 3.17-3.24
Te3 0.1629 0.8371 0.5000  6 Pm 3.17-3.24


[4]
VASP calculation (PBE-GGA) on crystalline Nd5Zn5Rh2 at its relaxed geometry.

## Properties
* space group: C2/m, No. 12

Cell lengths 4.2845, 8.2454, 8.6454 Å; angles 87.12, 75.65, 74.94 degrees
Closest atoms and distances in Å follow each position.
Atoms (fractional coordinates):
Nd1 0.6245 0.0683 0.6827  5 Zn 3.00-3.20, 1 Rh 3.17
Nd2 0.0000 0.5000 0.5000  4 Rh 3.08, 6 Zn 3.18-3.29
Nd3 0.2969 0.3214 0.0849  3 Rh 2.94-3.04, 5 Zn 3.09-3.18
Nd4 0.3755 0.9317 0.3173  5 Zn 3.00-3.20, 1 Rh 3.17
Nd5 0.7031 0.6786 0.9151  3 Rh 2.94-3.04, 5 Zn 3.09-3.18
Zn1 0.0556 0.7093 0.1796  2 Rh 2.58, 1 Zn 2.78
Zn2 0.0000 0.0000 0.0000  2 Zn 2.78
Zn3 0.7125 0.2294 0.3456  1 Rh 2.65
Zn4 0.2875 0.7706 0.6544  1 Rh 2.65
Zn5 0.9444 0.2907 0.8204  2 Rh 2.58, 1 Zn 2.78
Rh1 0.3901 0.4588 0.7610  3 Zn 2.58-2.65
Rh2 0.6099 0.5412 0.2390  3 Zn 2.58-2.65


[5]
VASP calculation (PBE-GGA) on crystalline DyCuPtPb at its relaxed geometry.

## Properties
* space group: F-43m, No. 216

Cell lengths 4.8637, 4.8637, 4.8637 Å; angles 60.00, 60.00, 60.00 degrees
Closest atoms and distances in Å follow each position.
Atoms (fractional coordinates):
Pb1 0.2500 0.2500 0.2500  4 Pt 2.98, 4 Cu 2.98
Pt1 0.5000 0.5000 0.5000  4 Dy 2.98, 4 Pb 2.98
Dy1 0.7500 0.7500 0.7500  4 Cu 2.98, 4 Pt 2.98
Cu1 0.0000 0.0000 0.0000  4 Pb 2.98, 4 Dy 2.98


[6]
VASP calculation (PBE-GGA) on crystalline SiNi5P at its relaxed geometry.

## Properties
* space group: C2/c, No. 15
* raw formation energy: -0.002 eV per atom

Cell lengths 5.5922, 5.5922, 7.5663 Å; angles 67.28, 67.28, 74.84 degrees
Closest atoms and distances in Å follow each position.
Atoms (fractional coordinates):
Si1 0.4461 0.5539 0.7500  7 Ni 2.18-2.36
Si2 0.5539 0.4461 0.2500  7 Ni 2.18-2.36
Ni1 0.8744 0.1256 0.2500  2 P 2.08, 1 Si 2.18
Ni2 0.7345 0.3837 0.5014  1 P 2.27, 2 Si 2.30-2.36, 2 Ni 2.38-2.51
Ni3 0.3837 0.7345 0.0014  1 P 2.27, 2 Si 2.30-2.36, 2 Ni 2.38-2.51
Ni4 0.8256 0.6470 0.7186  1 P 2.20, 1 Si 2.22, 1 Ni 2.38
Ni5 0.2655 0.6163 0.4986  1 P 2.27, 2 Si 2.30-2.36, 2 Ni 2.38-2.51
Ni6 0.3530 0.1744 0.7814  1 P 2.20, 1 Si 2.22, 1 Ni 2.38
Ni7 0.1744 0.3530 0.2814  1 P 2.20, 1 Si 2.22, 1 Ni 2.38
Ni8 0.6163 0.2655 0.9986  1 P 2.27, 2 Si 2.30-2.36, 2 Ni 2.38-2.51
Ni9 0.6470 0.8256 0.2186  1 P 2.20, 1 Si 2.22, 1 Ni 2.38
Ni10 0.1256 0.8744 0.7500  2 P 2.08, 1 Si 2.18
P1 0.0000 0.0000 0.0000  6 Ni 2.08-2.27
P2 0.0000 0.0000 0.5000  6 Ni 2.08-2.27


[7]
VASP calculation (PBE-GGA) on crystalline Tb4TmSc4 at its relaxed geometry.

## Properties
* space group: I4/mmm, No. 139

Cell lengths 4.8308, 7.6458, 7.6458 Å; angles 84.27, 71.58, 71.58 degrees
Closest atoms and distances in Å follow each position.
Atoms (fractional coordinates):
Tm1 0.0000 0.0000 0.0000  4 Tb 3.37, 8 Sc 3.41
Sc1 0.6657 0.0000 0.6686  6 Tb 3.39-3.43, 4 Sc 3.40-3.44, 2 Tm 3.41
Sc2 0.3343 0.3314 0.0000  6 Tb 3.39-3.43, 4 Sc 3.40-3.44, 2 Tm 3.41
Sc3 0.3343 0.0000 0.3314  6 Tb 3.39-3.43, 4 Sc 3.40-3.44, 2 Tm 3.41
Sc4 0.6657 0.6686 0.0000  6 Tb 3.39-3.43, 4 Sc 3.40-3.44, 2 Tm 3.41
Tb1 0.6718 0.3283 0.3282  1 Tm 3.37, 6 Sc 3.39-3.43, 5 Tb 3.47-3.52
Tb2 0.0000 0.3282 0.6717  1 Tm 3.37, 6 Sc 3.39-3.43, 5 Tb 3.47-3.52
Tb3 0.3282 0.6717 0.6718  1 Tm 3.37, 6 Sc 3.39-3.43, 5 Tb 3.47-3.52
Tb4 0.0000 0.6718 0.3283  1 Tm 3.37, 6 Sc 3.39-3.43, 5 Tb 3.47-3.52


[8]
VASP calculation (PBE-GGA) on crystalline FeBiI at its relaxed geometry.

## Properties
* space group: Pm, No. 6
* raw formation energy: 0.142 eV per atom

Cell lengths 6.6387, 4.0012, 7.8033 Å; angles 90.00, 84.46, 90.00 degrees
Closest atoms and distances in Å follow each position.
Atoms (fractional coordinates):
I1 0.0718 0.5000 0.0971  3 Fe 2.70
I2 0.5517 0.0000 0.3002  1 Fe 2.61
Bi1 0.2689 0.0000 0.6596  3 Fe 2.70-3.02
Bi2 0.6843 0.0000 0.8145  3 Fe 2.72-2.78
Fe1 0.3922 0.5000 0.8569  2 Fe 2.44, 1 I 2.70, 2 Bi 2.70
Fe2 0.3410 0.0000 0.0353  2 Fe 2.44, 3 I 2.61-2.70, 1 Bi 2.72


| no. | uncorrected energy (eV/cell) | total magnetic moment (μB per cell) |
| --- | --- | --- |
| 1 | -16.3 | 0.00 |
| 2 | -64.7 | 0.00 |
| 3 | -70.1 | 0.00 |
| 4 | -50.1 | 0.00 |
| 5 | -20.4 | 0.00 |
| 6 | -79.5 | 0.00 |
| 7 | -47.8 | 0.00 |
| 8 | -26.9 | 4.91 |